No. 1
Compound: FeBMo2
Source: Alexandria via LeMat-Bulk
Functional: PBE-GGA
Structure: optimized geometry

Structure (POSCAR):
```
FeBMo2
1.0
-3.1336 3.1336 2.6525
3.1336 -3.1336 2.6525
3.1336 3.1336 -2.6525
Fe B Mo
2 2 4
Direct
0.0000 0.0000 0.0000
0.7500 0.2500 0.5000
0.2500 0.7500 0.5000
0.5000 0.5000 0.0000
0.1632 0.6250 0.0382
0.3750 0.4132 0.5382
0.5868 0.1250 0.9618
0.8750 0.8368 0.4618
```

calculated formation energy	0.44	eV/atom
calculated density	8.24	g/cm3
total magnetization	3.1	μB per cell

***

No. 2
Compound: FeB2Mo2
Source: Alexandria via LeMat-Bulk
Functional: PBE-GGA
Structure: optimized geometry

Structure (POSCAR):
```
FeB2Mo2
1.0
6.3943 0.0000 0.0000
0.0000 6.3943 0.0000
0.0000 0.0000 2.8162
Fe B Mo
2 4 4
Direct
0.0000 0.0000 0.0000
0.5000 0.5000 0.0000
0.1563 0.3437 0.5000
0.3437 0.8437 0.5000
0.6563 0.1563 0.5000
0.8437 0.6563 0.5000
0.1433 0.6433 0.0000
0.3567 0.1433 0.0000
0.6433 0.8567 0.0000
0.8567 0.3567 0.0000
```

calculated formation energy	0.55	eV/atom
calculated density	7.77	g/cm3
total magnetization	0.0	μB per cell

***

No. 3
Compound: Fe2B2Mo
Source: Alexandria via LeMat-Bulk
Functional: PBE-GGA
Structure: optimized geometry

Structure (POSCAR):
```
Fe2B2Mo
1.0
3.7873 0.0000 0.0000
0.0000 2.9610 0.0000
-0.8833 0.0000 8.6058
Fe B Mo
4 4 2
Direct
0.1494 0.2500 0.1044
0.2496 0.7500 0.5033
0.7504 0.2500 0.4967
0.8506 0.7500 0.8956
0.2086 0.2500 0.3352
0.3703 0.7500 0.9788
0.6297 0.2500 0.0212
0.7914 0.7500 0.6648
0.3228 0.2500 0.7559
0.6772 0.7500 0.2441
```

calculated formation energy	-0.25	eV/atom
ΔE to the lowest computed polymorph	0	meV per atom
calculated density	7.89	g/cm3
total magnetization	4.6	μB per cell

***

No. 4
Compound: Fe2BMo2
Source: Alexandria via LeMat-Bulk
Functional: PBE-GGA
Structure: optimized geometry

Structure (POSCAR):
```
Fe2BMo2
1.0
-2.0347 2.0347 4.3601
2.0347 -2.0347 4.3601
2.0347 2.0347 -4.3601
Fe B Mo
2 1 2
Direct
0.1176 0.1176 0.0000
0.8824 0.8824 0.0000
0.5000 0.5000 0.0000
0.2500 0.7500 0.5000
0.7500 0.2500 0.5000
```

calculated formation energy	1.13	eV/atom
ΔE to the lowest computed polymorph	999	meV per atom
calculated density	7.23	g/cm3
total magnetization	0.0	μB per cell

***

No. 5
Compound: Fe3BMo
Source: Alexandria via LeMat-Bulk
Functional: PBE-GGA
Structure: optimized geometry

Structure (POSCAR):
```
Fe3BMo
1.0
3.7846 0.0000 0.0000
0.0000 3.7846 0.0000
0.0000 0.0000 3.7846
Fe B Mo
3 1 1
Direct
0.0000 0.0000 0.5000
0.0000 0.5000 0.0000
0.5000 0.0000 0.0000
0.0000 0.0000 0.0000
0.5000 0.5000 0.5000
```

calculated formation energy	0.09	eV/atom
ΔE to the lowest computed polymorph	0	meV per atom
calculated density	8.40	g/cm3
total magnetization	1.0	μB per cell

***

No. 6
Compound: Fe3BMo
Source: Alexandria via LeMat-Bulk
Functional: PBE-GGA
Structure: optimized geometry

Structure (POSCAR):
```
Fe3BMo
1.0
4.4385 0.0000 0.0000
0.0000 4.4385 0.0000
0.0000 0.0000 4.4385
Fe B Mo
3 1 1
Direct
0.0000 0.0000 0.5000
0.0000 0.5000 0.0000
0.5000 0.0000 0.0000
0.5000 0.5000 0.5000
0.0000 0.0000 0.0000
```

calculated formation energy	2.31	eV/atom
ΔE to the lowest computed polymorph	2218	meV per atom
calculated density	5.21	g/cm3
total magnetization	5.2	μB per cell

***

No. 7
Compound: FeB2Mo2
Source: Alexandria via LeMat-Bulk
Functional: PBE-GGA
Structure: optimized geometry

Structure (POSCAR):
```
FeB2Mo2
1.0
5.7712 0.0000 0.0000
0.0000 5.7712 0.0000
0.0000 0.0000 3.1640
Fe B Mo
2 4 4
Direct
0.0000 0.0000 0.0000
0.5000 0.5000 0.0000
0.1131 0.3869 0.0000
0.3869 0.8869 0.0000
0.6131 0.1131 0.0000
0.8869 0.6131 0.0000
0.1778 0.6778 0.5000
0.3222 0.1778 0.5000
0.6778 0.8222 0.5000
0.8222 0.3222 0.5000
```

calculated formation energy	-0.44	eV/atom
calculated density	8.49	g/cm3
total magnetization	3.6	μB per cell

***

No. 8
Compound: NaFeBMo2
Source: Alexandria via LeMat-Bulk
Functional: PBE-GGA
Structure: optimized geometry

Structure (POSCAR):
```
NaFeBMo2
1.0
4.3794 0.0000 0.0000
0.0000 4.3794 0.0000
0.0000 0.0000 4.6810
Na Fe B Mo
1 1 1 2
Direct
0.0000 0.0000 0.0000
0.0000 0.0000 0.5000
0.5000 0.5000 0.0000
0.0000 0.5000 0.5000
0.5000 0.0000 0.5000
```

calculated formation energy	2.02	eV/atom
calculated density	5.21	g/cm3
total magnetization	0.0	μB per cell